The following is a PBE calculation of Sm2YMgN after structural relaxation, from Alexandria.

```
Sm2YMgN
1.0
-3.7717 2.4963 -1.6628
-1.1121 -3.7772 -3.1480
-2.9341 -2.0801 3.5325
Sm N Y Mg
2 1 1 1
Direct
0.0000 0.5000 0.0000
0.0000 0.0000 0.5000
0.0000 0.0000 0.0000
0.5000 0.0000 0.0000
0.5000 0.5000 0.5000
```

Values from the calculation:
**Symmetry**: P4/mmm (123)
**Raw formation energy**: -664 meV per atom
**Theoretical density**: 5.802 g/cm3

The following is a PBE calculation of InPAu2 after structural relaxation, from Alexandria.

```
InPAu2
1.0
4.0634 0.0000 0.0000
0.0000 4.0667 0.0000
0.0000 0.0000 4.5981
Au P In
2 1 1
Direct
0.5000 0.5000 0.0000
0.0000 0.0000 0.0000
0.0000 0.5000 0.5000
0.5000 0.0000 0.5000
```

Values from the calculation:
**Symmetry**: P4/mmm (123)
**Theoretical density**: 11.795 g/cm3
**Relative energy among the computed polymorphs**: 243 meV/atom
**Energy of formation**: 0.198 eV per atom